An optimized crystal structure of YPtRhPb, computed with GGA-PBE.

The calculation puts the formation energy at -0.591 eV/atom. As for the total magnetic moment: 0.0 Bohr magnetons per cell.

The structure in POSCAR format:
```
YPtRhPb
1.0
-4.407 1.921 0.527
-3.889 -2.398 -1.587
-3.113 -1.922 3.163
Pt Pb Rh Y
1 1 1 1
direct
0.250 0.250 0.250 Pt
0.000 0.000 0.000 Pb
0.750 0.750 0.750 Rh
0.500 0.500 0.500 Y
```

An optimized crystal structure of CeCoRh, computed with GGA-PBE.

The calculation puts the formation energy at -0.217 eV/atom. As for the total magnetic moment: 0.0 Bohr magnetons per cell.

The structure in POSCAR format:
```
CeCoRh
1.0
3.729 0.000 0.000
0.000 3.729 0.000
-1.865 -1.865 3.836
Ce Co Rh
1 1 1
direct
0.602 0.602 0.204 Ce
0.314 0.314 0.628 Co
0.934 0.934 0.867 Rh
```

An optimized crystal structure of ErPa3Se6, computed with GGA-PBE.

The value obtained for the uncorrected formation energy is -1.335 eV per atom. As for the total magnetic moment: 7.5 Bohr magnetons per cell.

The structure in POSCAR format:
```
ErPa3Se6
1.0
6.978 0.000 0.000
0.000 8.789 0.154
0.000 -1.811 8.601
Se Er Pa
12 2 6
direct
0.241 0.002 0.998 Se
0.704 0.906 0.438 Se
0.741 0.998 0.002 Se
0.635 0.239 0.761 Se
0.135 0.761 0.239 Se
0.204 0.094 0.562 Se
0.679 0.296 0.376 Se
0.179 0.376 0.296 Se
0.679 0.624 0.704 Se
0.704 0.562 0.094 Se
0.179 0.704 0.624 Se
0.204 0.438 0.906 Se
0.998 0.164 0.836 Er
0.498 0.836 0.164 Er
0.987 0.728 0.923 Pa
0.487 0.272 0.077 Pa
0.487 0.923 0.728 Pa
0.873 0.595 0.405 Pa
0.373 0.405 0.595 Pa
0.987 0.077 0.272 Pa
```

| no. | calculated density (g/cm³) | DOS at the Fermi energy (states/eV/cell) | total energy (eV per cell) |
| --- | --- | --- | --- |
| 1 | 12.33 | 3.43 | -25.930 |
| 2 | 9.40 | 2.21 | -21.041 |
| 3 | 8.37 | 31.62 | -134.607 |